1.
# LiZn2Hg2

A relaxed LiZn2Hg2 crystal (PBE, the Alexandria database).

Lattice parameters (Å, degrees): 7.4954 7.4954 3.5637 90.00 90.00 90.00
Atoms (fractional coordinates):
Li (0.0000, 0.0000, 0.0000)
Li (0.5000, 0.5000, 0.0000)
Zn (0.1213, 0.3787, 0.0000)
Zn (0.3787, 0.8787, 0.0000)
Zn (0.6213, 0.1213, 0.0000)
Zn (0.8787, 0.6213, 0.0000)
Hg (0.1834, 0.6834, 0.5000)
Hg (0.3166, 0.1834, 0.5000)
Hg (0.6834, 0.8166, 0.5000)
Hg (0.8166, 0.3166, 0.5000)

Results
theoretical density: 8.9 g/cm³
space group: P4/mbm, No. 127
ΔE_f: -0.036 eV per atom
uncorrected energy: -10.49 eV for the cell shown



2.
# Li4ZnHg

A relaxed Li4ZnHg crystal (PBE, the Alexandria database).

Lattice parameters (Å, degrees): 4.5132 4.5132 5.5634 90.00 90.00 120.00
Atoms (fractional coordinates):
Li (0.3333, 0.6667, 0.2487)
Li (0.3333, 0.6667, 0.7513)
Li (0.6667, 0.3333, 0.2487)
Li (0.6667, 0.3333, 0.7513)
Zn (0.0000, 0.0000, 0.0000)
Hg (0.0000, 0.0000, 0.5000)

Results
theoretical density: 5.0 g/cm³
space group: P6/mmm, No. 191
ΔE_f: -0.209 eV per atom
uncorrected energy: -10.48 eV for the cell shown



Values for ΔE to the lowest computed polymorph, meV/atom, ordered as above
17, 0